Arrangement one

First-principles (GGA-PBE) data for Co after structural relaxation, as listed in Alexandria.

a b c (Å): 3.9561 3.9561 3.9561
angles (deg): 105.41 105.41 117.93
Closest atoms and distances in Å follow each position.
Fractional positions:
Co 0.1703 0.6703 0.8406  7 Co 2.31-2.52
Co 0.3297 0.1703 0.5000  7 Co 2.31-2.52
Co 0.6703 0.8297 0.5000  7 Co 2.31-2.52
Co 0.8297 0.3297 0.1594  7 Co 2.31-2.52

Output
space group: I4/mcm, No. 140

Arrangement two

First-principles (GGA-PBE) data for Co after structural relaxation, as listed in Alexandria.

a b c (Å): 4.7886 4.7886 7.6985
angles (deg): 90.00 90.00 150.25
Closest atoms and distances in Å follow each position.
Fractional positions:
Co 0.0194 0.9806 0.7500  13 Co 2.46-2.59
Co 0.2470 0.7530 0.2500  11 Co 2.36-2.49
Co 0.3728 0.6272 0.5169  12 Co 2.36-2.60
Co 0.3728 0.6272 0.9831  12 Co 2.36-2.60
Co 0.6272 0.3728 0.0169  12 Co 2.36-2.60
Co 0.6272 0.3728 0.4831  12 Co 2.36-2.60
Co 0.7530 0.2470 0.7500  11 Co 2.36-2.49
Co 0.9806 0.0194 0.2500  13 Co 2.46-2.59

Output
space group: Cmcm, No. 63

Pick the least stable structure from those above. Pick: arrangement one